Record 1
# GGA-PBE BaH4Au2, relaxed
# - Space group: No. 12
# - Crystal system: monoclinic
# - Total magnetization: 0.00 Bohr magnetons per cell
# - Total energy: -3.260 eV/atom
# - Fermi-level density of states: 1.239 states/eV/cell
data_BaH4Au2
_cell_length_a 3.8294
_cell_length_b 3.8294
_cell_length_c 6.9843
_cell_angle_alpha 97.64
_cell_angle_beta 97.64
_cell_angle_gamma 89.95
_space_group_name_H-M_alt 'P 1'
_space_group_IT_number 1
_space_group_name_Hall 'P 1'
loop_
_atom_site_label
_atom_site_fract_x
_atom_site_fract_y
_atom_site_fract_z
Ba1 0.0000 0.0000 0.0000
H1 0.0641 0.5697 0.3000
H2 0.4303 0.9359 0.7000
H3 0.5697 0.0641 0.3000
H4 0.9359 0.4303 0.7000
Au1 0.4306 0.4306 0.6978
Au2 0.5694 0.5694 0.3022


Record 2
# GGA-PBE Ba5HAu2, relaxed
# - Space group: No. 63
# - Energy relative to the lowest polymorph listed for this composition: 0.80 kcal/mol of atoms
# - Crystal system: orthorhombic
# - Total magnetization: 0.00 Bohr magnetons per cell
# - Fermi-level density of states: 12.703 states/eV/cell
data_Ba5HAu2
_cell_length_a 7.7595
_cell_length_b 7.7595
_cell_length_c 15.4583
_cell_angle_alpha 90.00
_cell_angle_beta 90.00
_cell_angle_gamma 130.47
_space_group_name_H-M_alt 'P 1'
_space_group_IT_number 1
_space_group_name_Hall 'P 1'
loop_
_atom_site_label
_atom_site_fract_x
_atom_site_fract_y
_atom_site_fract_z
Ba1 0.0594 0.9406 0.6212
Ba2 0.0594 0.9406 0.8788
Ba3 0.2770 0.7230 0.2500
Ba4 0.3486 0.6514 0.5794
Ba5 0.3486 0.6514 0.9206
Ba6 0.6514 0.3486 0.0794
Ba7 0.6514 0.3486 0.4206
Ba8 0.7230 0.2770 0.7500
Ba9 0.9406 0.0594 0.1212
Ba10 0.9406 0.0594 0.3788
H1 0.2052 0.7948 0.7500
H2 0.7948 0.2052 0.2500
Au1 0.1668 0.8332 0.0638
Au2 0.1668 0.8332 0.4362
Au3 0.8332 0.1668 0.5638
Au4 0.8332 0.1668 0.9362


Record 3
# GGA-PBE Ba3HAu2, relaxed
# - Space group: No. 71
# - Energy relative to the lowest polymorph listed for this composition: 1.48 kcal/mol of atoms
# - Crystal system: orthorhombic
# - Total magnetization: 0.00 Bohr magnetons per cell
# - Fermi-level density of states: 4.689 states/eV/cell
data_Ba3HAu2
_cell_length_a 9.5825
_cell_length_b 9.5825
_cell_length_c 9.5825
_cell_angle_alpha 153.27
_cell_angle_beta 148.17
_cell_angle_gamma 42.04
_space_group_name_H-M_alt 'P 1'
_space_group_IT_number 1
_space_group_name_Hall 'P 1'
loop_
_atom_site_label
_atom_site_fract_x
_atom_site_fract_y
_atom_site_fract_z
Ba1 0.0000 0.0000 0.0000
Ba2 0.3337 0.8337 0.5000
Ba3 0.6663 0.1663 0.5000
H1 0.5000 0.0000 0.5000
Au1 0.1452 0.6452 0.5000
Au2 0.8548 0.3548 0.5000


Record 4
# GGA-PBE BaH2Au, relaxed
# - Space group: No. 166
# - Energy relative to the lowest polymorph listed for this composition: 0.43 kcal/mol of atoms
# - Crystal system: trigonal
# - Total magnetization: 0.00 Bohr magnetons per cell
# - Fermi-level density of states: 1.446 states/eV/cell
data_BaH2Au
_cell_length_a 5.1263
_cell_length_b 5.1263
_cell_length_c 5.1263
_cell_angle_alpha 55.38
_cell_angle_beta 55.38
_cell_angle_gamma 55.38
_space_group_name_H-M_alt 'P 1'
_space_group_IT_number 1
_space_group_name_Hall 'P 1'
loop_
_atom_site_label
_atom_site_fract_x
_atom_site_fract_y
_atom_site_fract_z
Ba1 0.0000 0.0000 0.0000
H1 0.3712 0.3712 0.3712
H2 0.6288 0.6288 0.6288
Au1 0.5000 0.5000 0.5000


Record 5
# GGA-PBE Ba2HgHAu, relaxed
# - Space group: No. 123
# - Energy relative to the lowest polymorph listed for this composition: 0.00 kcal/mol of atoms
# - Crystal system: tetragonal
# - Total magnetization: 0.00 Bohr magnetons per cell
# - Fermi-level density of states: 2.675 states/eV/cell
data_Ba2HgHAu
_cell_length_a 5.8805
_cell_length_b 5.8805
_cell_length_c 4.0325
_cell_angle_alpha 90.00
_cell_angle_beta 90.00
_cell_angle_gamma 90.00
_space_group_name_H-M_alt 'P 1'
_space_group_IT_number 1
_space_group_name_Hall 'P 1'
loop_
_atom_site_label
_atom_site_fract_x
_atom_site_fract_y
_atom_site_fract_z
Ba1 0.0000 0.5000 0.0000
Ba2 0.5000 0.0000 0.0000
Hg1 0.0000 0.0000 0.5000
H1 0.5000 0.5000 0.0000
Au1 0.5000 0.5000 0.5000


Record 6
# GGA-PBE Ba2HgH6Au2, relaxed
# - Space group: No. 12
# - Crystal system: monoclinic
# - Total magnetization: 0.00 Bohr magnetons per cell
# - Total energy: -3.095 eV/atom
data_Ba2HgH6Au2
_cell_length_a 6.1150
_cell_length_b 6.1150
_cell_length_c 7.9471
_cell_angle_alpha 118.42
_cell_angle_beta 118.42
_cell_angle_gamma 51.26
_space_group_name_H-M_alt 'P 1'
_space_group_IT_number 1
_space_group_name_Hall 'P 1'
loop_
_atom_site_label
_atom_site_fract_x
_atom_site_fract_y
_atom_site_fract_z
Ba1 0.2137 0.2137 0.2435
Ba2 0.7863 0.7863 0.7565
Hg1 0.0000 0.0000 0.5000
H1 0.1397 0.7610 0.1447
H2 0.2390 0.8603 0.8553
H3 0.3085 0.3085 0.6400
H4 0.6915 0.6915 0.3600
H5 0.7610 0.1397 0.1447
H6 0.8603 0.2390 0.8553
Au1 0.4888 0.4888 0.1791
Au2 0.5112 0.5112 0.8209


Record 7
# GGA-PBE Ba2HgHAu, relaxed
# - Space group: No. 123
# - Energy relative to the lowest polymorph listed for this composition: 1.09 kcal/mol of atoms
# - Crystal system: tetragonal
# - Total magnetization: 0.00 Bohr magnetons per cell
# - Fermi-level density of states: 3.170 states/eV/cell
data_Ba2HgHAu
_cell_length_a 5.5947
_cell_length_b 5.5947
_cell_length_c 4.4617
_cell_angle_alpha 90.00
_cell_angle_beta 90.00
_cell_angle_gamma 90.00
_space_group_name_H-M_alt 'P 1'
_space_group_IT_number 1
_space_group_name_Hall 'P 1'
loop_
_atom_site_label
_atom_site_fract_x
_atom_site_fract_y
_atom_site_fract_z
Ba1 0.0000 0.5000 0.0000
Ba2 0.5000 0.0000 0.0000
Hg1 0.0000 0.0000 0.5000
H1 0.0000 0.0000 0.0000
Au1 0.5000 0.5000 0.5000


Record 8
# GGA-PBE Ba6Hg2HAu, relaxed
# - Space group: No. 14
# - Crystal system: monoclinic
# - Total magnetization: 0.00 Bohr magnetons per cell
# - Total energy: -2.290 eV/atom
# - Fermi-level density of states: 18.930 states/eV/cell
data_Ba6Hg2HAu
_cell_length_a 8.0042
_cell_length_b 8.7929
_cell_length_c 14.1768
_cell_angle_alpha 90.00
_cell_angle_beta 123.80
_cell_angle_gamma 90.00
_space_group_name_H-M_alt 'P 1'
_space_group_IT_number 1
_space_group_name_Hall 'P 1'
loop_
_atom_site_label
_atom_site_fract_x
_atom_site_fract_y
_atom_site_fract_z
Ba1 0.1073 0.0290 0.2407
Ba2 0.1073 0.4710 0.7407
Ba3 0.2269 0.6880 0.0637
Ba4 0.2269 0.8120 0.5637
Ba5 0.3810 0.1775 0.0648
Ba6 0.3810 0.3225 0.5648
Ba7 0.6190 0.6775 0.4352
Ba8 0.6190 0.8225 0.9352
Ba9 0.7731 0.1880 0.4363
Ba10 0.7731 0.3120 0.9363
Ba11 0.8927 0.5290 0.2593
Ba12 0.8927 0.9710 0.7593
Hg1 0.2988 0.1115 0.7492
Hg2 0.2988 0.3885 0.2492
Hg3 0.7012 0.6115 0.7508
Hg4 0.7012 0.8885 0.2508
H1 0.0000 0.0000 0.0000
H2 0.0000 0.5000 0.5000
Au1 0.5000 0.0000 0.5000
Au2 0.5000 0.5000 0.0000


Record 9
# GGA-PBE Ba4HAuI2, relaxed
# - Space group: No. 10
# - Crystal system: monoclinic
# - Total magnetization: 0.00 Bohr magnetons per cell
# - Total energy: -3.084 eV/atom
# - Fermi-level density of states: 4.180 states/eV/cell
data_Ba4HAuI2
_cell_length_a 7.9094
_cell_length_b 4.6087
_cell_length_c 9.1961
_cell_angle_alpha 90.00
_cell_angle_beta 107.72
_cell_angle_gamma 90.00
_space_group_name_H-M_alt 'P 1'
_space_group_IT_number 1
_space_group_name_Hall 'P 1'
loop_
_atom_site_label
_atom_site_fract_x
_atom_site_fract_y
_atom_site_fract_z
Ba1 0.2227 0.0000 0.1999
Ba2 0.2579 0.5000 0.7965
Ba3 0.7421 0.5000 0.2035
Ba4 0.7773 0.0000 0.8001
H1 0.0000 0.5000 0.0000
Au1 0.5000 0.0000 0.0000
I1 0.0000 0.0000 0.5000
I2 0.5000 0.5000 0.5000


Record 10
# GGA-PBE Ba6HAu2I3, relaxed
# - Space group: No. 12
# - Crystal system: monoclinic
# - Total magnetization: 0.00 Bohr magnetons per cell
# - Total energy: -3.148 eV/atom
# - Fermi-level density of states: 2.474 states/eV/cell
data_Ba6HAu2I3
_cell_length_a 8.0249
_cell_length_b 8.0249
_cell_length_c 9.2163
_cell_angle_alpha 98.34
_cell_angle_beta 98.34
_cell_angle_gamma 119.96
_space_group_name_H-M_alt 'P 1'
_space_group_IT_number 1
_space_group_name_Hall 'P 1'
loop_
_atom_site_label
_atom_site_fract_x
_atom_site_fract_y
_atom_site_fract_z
Ba1 0.0676 0.3919 0.2029
Ba2 0.2568 0.2568 0.7958
Ba3 0.3919 0.0676 0.2029
Ba4 0.6081 0.9324 0.7971
Ba5 0.7432 0.7432 0.2042
Ba6 0.9324 0.6081 0.7971
H1 0.0000 0.0000 0.0000
Au1 0.3335 0.6665 0.0000
Au2 0.6665 0.3335 0.0000
I1 0.1683 0.8317 0.5000
I2 0.5000 0.5000 0.5000
I3 0.8317 0.1683 0.5000


Record 11
# GGA-PBE Ba2InH6Au2, relaxed
# - Space group: No. 12
# - Crystal system: monoclinic
# - Total magnetization: 0.00 Bohr magnetons per cell
# - Total energy: -3.272 eV/atom
# - Fermi-level density of states: 2.277 states/eV/cell
data_Ba2InH6Au2
_cell_length_a 6.3513
_cell_length_b 6.3513
_cell_length_c 7.4654
_cell_angle_alpha 117.20
_cell_angle_beta 117.20
_cell_angle_gamma 45.95
_space_group_name_H-M_alt 'P 1'
_space_group_IT_number 1
_space_group_name_Hall 'P 1'
loop_
_atom_site_label
_atom_site_fract_x
_atom_site_fract_y
_atom_site_fract_z
Ba1 0.2002 0.2002 0.2226
Ba2 0.7998 0.7998 0.7774
In1 0.0000 0.0000 0.5000
H1 0.1369 0.6553 0.1543
H2 0.3229 0.3229 0.6454
H3 0.3447 0.8631 0.8457
H4 0.6553 0.1369 0.1543
H5 0.6771 0.6771 0.3546
H6 0.8631 0.3447 0.8457
Au1 0.4914 0.4914 0.7265
Au2 0.5086 0.5086 0.2735


> Which value of total magnetization does entry 11 give?

0.00 Bohr magnetons per cell


Please write out number 8 again, unchanged.
# GGA-PBE Ba6Hg2HAu, relaxed
# - Space group: No. 14
# - Crystal system: monoclinic
# - Total magnetization: 0.00 Bohr magnetons per cell
# - Total energy: -2.290 eV/atom
# - Fermi-level density of states: 18.930 states/eV/cell
data_Ba6Hg2HAu
_cell_length_a 8.0042
_cell_length_b 8.7929
_cell_length_c 14.1768
_cell_angle_alpha 90.00
_cell_angle_beta 123.80
_cell_angle_gamma 90.00
_space_group_name_H-M_alt 'P 1'
_space_group_IT_number 1
_space_group_name_Hall 'P 1'
loop_
_atom_site_label
_atom_site_fract_x
_atom_site_fract_y
_atom_site_fract_z
Ba1 0.1073 0.0290 0.2407
Ba2 0.1073 0.4710 0.7407
Ba3 0.2269 0.6880 0.0637
Ba4 0.2269 0.8120 0.5637
Ba5 0.3810 0.1775 0.0648
Ba6 0.3810 0.3225 0.5648
Ba7 0.6190 0.6775 0.4352
Ba8 0.6190 0.8225 0.9352
Ba9 0.7731 0.1880 0.4363
Ba10 0.7731 0.3120 0.9363
Ba11 0.8927 0.5290 0.2593
Ba12 0.8927 0.9710 0.7593
Hg1 0.2988 0.1115 0.7492
Hg2 0.2988 0.3885 0.2492
Hg3 0.7012 0.6115 0.7508
Hg4 0.7012 0.8885 0.2508
H1 0.0000 0.0000 0.0000
H2 0.0000 0.5000 0.5000
Au1 0.5000 0.0000 0.5000
Au2 0.5000 0.5000 0.0000